(1)
3
Lattice="3.300 0.000 0.000 -1.650 2.858 0.000 0.000 0.000 6.433" Properties=species:S:1:pos:R:3 comment="ScRhCl | Alexandria via LeMat-Bulk | PBE | relaxed" sg="P3m1 (156)" relative_energy_ev_per_atom=0.000 total_energy_ev_per_atom=-6.125 m_tot_mub_per_fu=0.00 pbc="T T T"
Sc 0.000 0.000 0.000
Rh 1.650 0.953 4.708
Cl 0.000 1.905 1.782

(2)
8
Lattice="-2.323 2.323 14.380 2.323 -2.323 14.380 2.323 2.323 -14.380" Properties=species:S:1:pos:R:3 comment="K2LaHf | Alexandria via LeMat-Bulk | PBE | relaxed" e_form_ev_per_atom=0.92 sg="I-42d (122)" relative_energy_ev_per_atom=0.000 total_energy_ev_per_atom=-3.347 m_tot_mub_per_fu=0.00 pbc="T T T"
K 3.485 1.133 -3.595
K 1.133 1.162 3.595
K -1.162 1.190 10.785
K 1.190 1.162 17.975
La 2.323 0.000 7.190
La 0.000 0.000 14.380
Hf 0.000 0.000 0.000
Hf 0.000 2.323 7.190

- Which formula does entry 2 have?
  K2LaHf